Entry 1:
Below is a geometry-optimized GaHgSe2 structure, with properties calculated at the PBEsol level.

Calculated values
- raw total energy (eV/atom) = -2.79
- size of the total moment (μB/f.u.) = 0.0
- SG = No. 166
- volume (Å³ per atom) = 29.77
- D(E_F) (states/eV per cell) = 1.49

Structure (CIF):
```
data_GaHgSe2
_cell_length_a 4.2942
_cell_length_b 4.2942
_cell_length_c 7.8571
_cell_angle_alpha 74.14
_cell_angle_beta 74.14
_cell_angle_gamma 60.00
_space_group_name_H-M_alt 'P 1'
_space_group_IT_number 1
_space_group_name_Hall 'P 1'
loop_
_atom_site_label
_atom_site_fract_x
_atom_site_fract_y
_atom_site_fract_z
Se1 0.8993 0.8993 0.3021
Se2 0.1007 0.1007 0.6979
Hg1 0.5000 0.5000 0.5000
Ga1 0.0000 0.0000 0.0000
```

Entry 2:
Below is a geometry-optimized Sn2BiF structure, with properties calculated at the PBEsol level.

Calculated values
- raw total energy (eV/atom) = -4.25
- size of the total moment (μB/f.u.) = 0.0
- SG = No. 225
- volume (Å³ per atom) = 23.80
- D(E_F) (states/eV per cell) = 1.36

Structure (CIF):
```
data_Sn2BiF
_cell_length_a 5.1254
_cell_length_b 5.1254
_cell_length_c 5.1254
_cell_angle_alpha 60.00
_cell_angle_beta 60.00
_cell_angle_gamma 60.00
_space_group_name_H-M_alt 'P 1'
_space_group_IT_number 1
_space_group_name_Hall 'P 1'
loop_
_atom_site_label
_atom_site_fract_x
_atom_site_fract_y
_atom_site_fract_z
F1 0.0000 0.0000 0.0000
Sn1 0.7500 0.7500 0.7500
Sn2 0.2500 0.2500 0.2500
Bi1 0.5000 0.5000 0.5000
```

Entry 3:
Below is a geometry-optimized Mg2CrBi structure, with properties calculated at the PBEsol level.

Calculated values
- formation energy (eV per formula unit) = 2.16
- size of the total moment (μB/f.u.) = 4.0
- SG = No. 122
- volume (Å³ per atom) = 23.70
- D(E_F) (states/eV per cell) = 5.61

Structure (CIF):
```
data_Mg2CrBi
_cell_length_a 5.8265
_cell_length_b 6.4054
_cell_length_c 6.4054
_cell_angle_alpha 78.06
_cell_angle_beta 62.95
_cell_angle_gamma 62.95
_space_group_name_H-M_alt 'P 1'
_space_group_IT_number 1
_space_group_name_Hall 'P 1'
loop_
_atom_site_label
_atom_site_fract_x
_atom_site_fract_y
_atom_site_fract_z
Cr1 0.2500 0.5000 0.5000
Cr2 0.5000 0.0000 0.0000
Bi1 0.0000 0.0000 0.0000
Bi2 0.7500 0.5000 0.5000
Mg1 0.1379 0.9871 0.4871
Mg2 0.6121 0.0129 0.5129
Mg3 0.8750 0.5129 0.9871
Mg4 0.3750 0.4871 0.0129
```

Entry 4:
Below is a geometry-optimized CaCdIr3 structure, with properties calculated at the PBEsol level.

Calculated values
- formation energy (eV per formula unit) = 11.11
- size of the total moment (μB/f.u.) = 0.0
- SG = No. 221
- volume (Å³ per atom) = 20.68
- D(E_F) (states/eV per cell) = 6.54

Structure (CIF):
```
data_CaCdIr3
_cell_length_a 4.6934
_cell_length_b 4.6934
_cell_length_c 4.6934
_cell_angle_alpha 90.00
_cell_angle_beta 90.00
_cell_angle_gamma 90.00
_space_group_name_H-M_alt 'P 1'
_space_group_IT_number 1
_space_group_name_Hall 'P 1'
loop_
_atom_site_label
_atom_site_fract_x
_atom_site_fract_y
_atom_site_fract_z
Ca1 0.0000 0.0000 0.0000
Ir1 0.0000 0.0000 0.5000
Ir2 0.0000 0.5000 0.0000
Ir3 0.5000 0.0000 0.0000
Cd1 0.5000 0.5000 0.5000
```